! Ca2CoPtO6 | Alexandria via LeMat-Bulk | GGA+U | optimized geometry; values from VASP
! Total magnetization in μB/f.u.: 3.2
! Theoretical density in g cm⁻³: 5.651
! Uncorrected energy in eV per atom: -5.942
! N(E_F) in states/eV per cell: 5.874
! Volume in Å³/f.u.: 126.41
&SYSTEM
  ibrav = 0, nat = 10, ntyp = 4
/
ATOMIC_SPECIES
Ca 40.08 Ca.upf
Co 58.93 Co.upf
Pt 195.08 Pt.upf
O 16.00 O.upf
CELL_PARAMETERS angstrom
5.394 0.000 0.000
0.000 5.394 0.000
0.000 0.000 4.345
ATOMIC_POSITIONS angstrom
Ca 0.000 2.697 0.000
Ca 2.697 0.000 0.000
Co 0.000 0.000 2.290
Pt 2.697 2.697 2.592
O 0.000 0.000 0.564
O 1.317 1.317 2.861
O 1.317 4.077 2.861
O 2.697 2.697 0.508
O 4.077 1.317 2.861
O 4.077 4.077 2.861